Entry 1:
# Pr3SnTeBr GGA-PBE optimized geometry
data_Pr3SnTeBr
_chemical_formula_sum 'Pr6 Sn2 Te2 Br2'
_symmetry_space_group_name_H-M 'P 1 21/m 1'
_symmetry_Int_Tables_number 11
_symmetry_space_group_name_Hall '-P 2yb'
_cell_length_a 9.319
_cell_length_b 4.405
_cell_length_c 10.592
_cell_angle_alpha 90.00
_cell_angle_beta 91.01
_cell_angle_gamma 90.00
loop_
_atom_site_label
_atom_site_type_symbol
_atom_site_fract_x
_atom_site_fract_y
_atom_site_fract_z
Pr1 Pr 0.120 0.250 0.345
Pr2 Pr 0.152 0.250 0.933
Pr3 Pr 0.372 0.750 0.640
Sn1 Sn 0.126 0.250 0.644
Te1 Te 0.374 0.750 0.333
Br1 Br 0.368 0.750 0.929
# D(E_F)	2.7	states/eV/f.u.
# electronic total energy	-29.341	eV per formula unit

---

Entry 2:
# Pr4SnTe2Br GGA-PBE optimized geometry
data_Pr4SnTe2Br
_chemical_formula_sum 'Pr16 Sn4 Te8 Br4'
_symmetry_space_group_name_H-M 'I m m a'
_symmetry_Int_Tables_number 74
_symmetry_space_group_name_Hall '-I 2b 2'
_cell_length_a 9.029
_cell_length_b 9.050
_cell_length_c 12.747
_cell_angle_alpha 90.00
_cell_angle_beta 90.00
_cell_angle_gamma 90.00
loop_
_atom_site_label
_atom_site_type_symbol
_atom_site_fract_x
_atom_site_fract_y
_atom_site_fract_z
Pr1 Pr 0.000 0.008 0.248
Pr2 Pr 0.240 0.250 0.005
Sn1 Sn 0.250 0.250 0.250
Te1 Te 0.000 0.000 0.000
Te2 Te 0.250 0.250 0.750
Br1 Br 0.000 0.000 0.500
# D(E_F)	3.8	states/eV/f.u.
# electronic total energy	-40.904	eV per formula unit

---

Entry 3:
# PrTlSnBr6 GGA-PBE optimized geometry
data_PrTlSnBr6
_chemical_formula_sum 'Pr2 Tl2 Sn2 Br12'
_symmetry_space_group_name_H-M 'P -3 1 c'
_symmetry_Int_Tables_number 163
_symmetry_space_group_name_Hall '-P 3 2c'
_cell_length_a 7.6967
_cell_length_b 7.6967
_cell_length_c 14.3381
_cell_angle_alpha 90.00
_cell_angle_beta 90.00
_cell_angle_gamma 120.00
loop_
_atom_site_label
_atom_site_type_symbol
_atom_site_fract_x
_atom_site_fract_y
_atom_site_fract_z
Pr1 Pr 0.3333 0.6667 0.2500
Tl1 Tl 0.0000 0.0000 0.0000
Sn1 Sn 0.3333 0.6667 0.7500
Br1 Br 0.0068 0.3672 0.1336
# D(E_F)	0.0	states/eV/f.u.
# electronic total energy	-32.851	eV per formula unit

---

Entry 4:
# SrPrBr6 GGA-PBE optimized geometry
data_SrPrBr6
_chemical_formula_sum 'Sr4 Pr4 Br24'
_symmetry_space_group_name_H-M 'F m -3 m'
_symmetry_Int_Tables_number 225
_symmetry_space_group_name_Hall '-F 4 2 3'
_cell_length_a 11.902
_cell_length_b 11.902
_cell_length_c 11.902
_cell_angle_alpha 90.00
_cell_angle_beta 90.00
_cell_angle_gamma 90.00
loop_
_atom_site_label
_atom_site_type_symbol
_atom_site_fract_x
_atom_site_fract_y
_atom_site_fract_z
Sr1 Sr 0.000 0.000 0.000
Pr1 Pr 0.000 0.000 0.500
Br1 Br 0.000 0.000 0.256
# D(E_F)	14.3	states/eV/f.u.
# electronic total energy	-28.957	eV per formula unit